No. 1
A relaxed structure of La2CrBr. Source: Alexandria, functional PBE.

The structure in POSCAR format:
```
La2CrBr
1.0
-1.370 -7.620 -1.529
-1.890 -6.538 3.995
-1.104 7.630 -1.688
La Br Cr
2 1 1
direct
0.210 0.710 0.500
0.949 0.949 0.000
0.543 0.543 0.000
0.798 0.298 0.500
```

## Properties
- VASP energy: -5.49 eV per atom
- DOS(E_F): 0.785 states/eV/atom
- Formation energy from raw total energies: -200 meV/atom
- SG: Imm2 (44)



No. 2
A relaxed structure of SrSn2Pd2. Source: Alexandria, functional PBE.

The structure in POSCAR format:
```
SrSn2Pd2
1.0
8.166 0.000 0.000
0.000 8.166 0.000
0.000 0.000 3.372
Sn Pd Sr
4 4 2
direct
0.846 0.346 0.500
0.154 0.654 0.500
0.346 0.154 0.500
0.654 0.846 0.500
0.128 0.372 0.000
0.872 0.628 0.000
0.628 0.128 0.000
0.372 0.872 0.000
0.000 0.000 0.000
0.500 0.500 0.000
```

## Properties
- VASP energy: -4.51 eV per atom
- Calculated formation energy: -0.499 eV per atom
- DOS(E_F): 0.360 states/eV/atom
- SG: P4/mbm (127)



No. 3
A relaxed structure of PuUTc2. Source: Alexandria, functional PBE.

The structure in POSCAR format:
```
PuUTc2
1.0
4.561 0.015 -0.022
-0.026 5.361 -1.645
0.040 -2.593 6.491
Tc Pu U
4 2 2
direct
0.250 0.726 0.089
0.750 0.851 0.407
0.250 0.149 0.593
0.750 0.274 0.911
0.250 0.794 0.722
0.750 0.206 0.278
0.250 0.411 0.249
0.750 0.589 0.751
```

## Properties
- VASP energy: -11.54 eV per atom
- Calculated formation energy: 0.044 eV per atom
- DOS(E_F): 1.776 states/eV/atom
- SG: P2_1/m (11)



No. 4
A relaxed structure of BaC2O6. Source: Alexandria, functional PBE.

The structure in POSCAR format:
```
BaC2O6
1.0
4.156 5.903 0.253
-4.156 5.903 0.253
0.000 4.135 6.185
Ba C O
2 4 12
direct
0.191 0.809 0.750
0.809 0.191 0.250
0.788 0.668 0.360
0.212 0.332 0.640
0.668 0.788 0.860
0.332 0.212 0.140
0.749 0.618 0.984
0.467 0.822 0.911
0.925 0.788 0.190
0.533 0.178 0.089
0.788 0.925 0.690
0.618 0.749 0.484
0.822 0.467 0.411
0.251 0.382 0.016
0.178 0.533 0.589
0.212 0.075 0.310
0.075 0.212 0.810
0.382 0.251 0.516
```

## Properties
- VASP energy: -7.13 eV per atom
- Formation energy from raw total energies: -1561 meV/atom
- SG: C2/c (15)